1.
A relaxed CeHoBe crystal. Source: Alexandria, functional GGA-PBE.

Formation energy = 0.16 eV/atom
Space-group type = No. 107

Structure (extended XYZ):
```
3
Lattice="-1.706 1.706 6.033 1.706 -1.706 6.033 1.706 1.706 -6.033" Properties=species:S:1:pos:R:3 pbc="T T T"
Ce 0.000 0.000 0.000
Ho 0.000 0.000 3.332
Be 0.000 0.000 7.763
```

=====

2.
A relaxed CeHo2BeN4 crystal. Source: Alexandria, functional GGA-PBE.

E_form (uncorrected) = -1.42 eV/atom
Space-group type = No. 63

Structure (extended XYZ):
```
16
Lattice="1.691 -5.513 0.000 1.691 5.513 0.000 0.000 0.000 11.303" Properties=species:S:1:pos:R:3 pbc="T T T"
Ce 1.691 4.437 8.477
Ce 1.691 -4.437 2.826
Ho 1.691 1.460 6.260
Ho 1.691 1.460 10.694
Ho 1.691 -1.460 0.608
Ho 1.691 -1.460 5.043
Be 1.691 3.500 2.826
Be 1.691 -3.500 8.477
N 0.000 0.000 0.000
N 0.000 0.000 5.651
N 1.691 2.531 1.483
N 1.691 2.531 4.168
N 1.691 0.656 8.477
N 1.691 -0.656 2.826
N 1.691 -2.531 7.135
N 1.691 -2.531 9.820
```

=====

3.
A relaxed Ce2HoBe2O6 crystal. Source: Alexandria, functional GGA-PBE.

E_form (uncorrected) = -2.75 eV/atom
Space-group type = No. 147

Structure (extended XYZ):
```
11
Lattice="5.691 0.000 0.000 -2.846 4.929 0.000 0.000 0.000 6.534" Properties=species:S:1:pos:R:3 pbc="T T T"
Ce 0.000 3.286 2.035
Ce 2.846 1.643 4.499
Ho 0.000 0.000 3.267
Be 0.000 3.286 4.791
Be 2.846 1.643 1.743
O -0.553 1.863 4.417
O -0.955 4.476 4.417
O 1.337 1.411 2.117
O 1.508 3.518 4.417
O 3.801 0.453 2.117
O 3.399 3.065 2.117
```

=====

4.
A relaxed CeHoBeZn crystal. Source: Alexandria, functional GGA-PBE.

Formation energy = -0.03 eV/atom
Space-group type = No. 216

Structure (extended XYZ):
```
4
Lattice="0.000 3.503 3.503 3.503 0.000 3.503 3.503 3.503 0.000" Properties=species:S:1:pos:R:3 pbc="T T T"
Ce 0.000 0.000 0.000
Ho 3.503 3.503 3.503
Be 5.254 5.254 5.254
Zn 1.751 1.751 1.751
```

=====

5.
A relaxed CeBeI2 crystal. Source: Alexandria, functional GGA-PBE.

E_form (uncorrected) = 0.05 eV/atom
Space-group type = No. 166

Structure (extended XYZ):
```
4
Lattice="1.876 1.083 9.534 -1.876 1.083 9.534 0.000 -2.167 9.534" Properties=species:S:1:pos:R:3 pbc="T T T"
Ce 0.000 0.000 0.000
Be 0.000 0.000 14.301
I 0.000 0.000 3.216
I 0.000 0.000 25.386
```

=====

6.
A relaxed CeBeIn crystal. Source: Alexandria, functional GGA-PBE.

Formation energy = -0.05 eV/atom
Energy above the most stable polymorph in this dataset = 25 meV/atom
Space-group type = No. 198

Structure (extended XYZ):
```
12
Lattice="6.493 0.000 0.000 0.000 6.493 0.000 0.000 0.000 6.493" Properties=species:S:1:pos:R:3 pbc="T T T"
Ce 1.142 1.142 1.142
Ce 2.104 5.350 4.388
Ce 4.388 2.104 5.350
Ce 5.350 4.388 2.104
Be 0.265 3.512 6.227
Be 2.981 2.981 2.981
Be 3.512 6.227 0.265
Be 6.227 0.265 3.512
In 1.129 2.117 4.375
In 2.117 4.375 1.129
In 4.375 1.129 2.117
In 5.364 5.364 5.364
```

=====

no.,size of the total moment (μB per atom),DFT total energy (eV/cell)
1,0.31,-13.77
2,0.02,-126.91
3,0.26,-83.89
4,0.02,-15.62
5,0.36,-12.58
6,0.26,-50.20